First-principles (PBE) data for a geometry-optimized AcDy3Sn2 structure, as listed in the Alexandria database.

Its space-group type is C2/m (12). For the calculated volume, the calculation gives 382.2 Å³ per cell. The value obtained for the final energy is -4.80 eV per atom. The formation energy from the elements comes out at -481 meV per atom.

abc: 9.534 9.534 9.450
angles: 112.35 112.35 28.94
Atoms (fractional coordinates):
Ac  0.117  0.117  0.147
Ac  0.883  0.883  0.853
Dy  0.058  0.058  0.692
Dy  0.307  0.307  0.114
Dy  0.360  0.360  0.516
Dy  0.640  0.640  0.484
Dy  0.693  0.693  0.886
Dy  0.942  0.942  0.308
Sn  0.236  0.236  0.700
Sn  0.485  0.485  0.148
Sn  0.515  0.515  0.852
Sn  0.764  0.764  0.300